(a)
# CrHSe3O8

Crystalline CrHSe3O8 at its relaxed geometry (PBE with a Hubbard U, Alexandria).

Cell: 7.323 13.152 10.684 Å, 90.00 129.11 90.00°
Space group P2_1/c (No. 14)
Unique sites:
Cr  0.231  0.174  0.130 [4 per cell]
H  0.202  0.153  0.873 [4 per cell]
Se  0.133  0.533  0.377 [4 per cell]
Se  0.182  0.660  0.022 [4 per cell]
Se  0.393  0.148  0.479 [4 per cell]
O  0.053  0.521  0.194 [4 per cell]
O  0.109  0.719  0.535 [4 per cell]
O  0.135  0.041  0.163 [4 per cell]
O  0.215  0.105  0.951 [4 per cell]
O  0.244  0.231  0.314 [4 per cell]
O  0.306  0.696  0.918 [4 per cell]
O  0.342  0.195  0.601 [4 per cell]
O  0.434  0.626  0.205 [4 per cell]

=====

(b)
# CrHSe3O8

Crystalline CrHSe3O8 at its relaxed geometry (PBE with a Hubbard U, Alexandria).

Cell: 9.192 11.635 7.634 Å, 90.00 90.00 90.00°
Space group Pnma (No. 62)
Unique sites:
Cr  0.000  0.000  0.000 [4 per cell]
H  0.104  0.250  0.455 [4 per cell]
Se  0.023  0.750  0.813 [4 per cell]
Se  0.228  0.609  0.289 [8 per cell]
O  0.001  0.250  0.421 [4 per cell]
O  0.087  0.137  0.127 [8 per cell]
O  0.113  0.035  0.779 [8 per cell]
O  0.170  0.596  0.078 [8 per cell]
O  0.183  0.250  0.760 [4 per cell]

=====

(b) is favored, and the nearest alternative lies 43 meV/atom above it.